# CaGa2Bi, relaxed, DFT GGA-PBE
# Energy of formation, eV/atom: -0.21
data_CaGa2Bi
_chemical_formula_sum 'Ca4 Ga8 Bi4'
_cell_length_a 8.386
_cell_length_b 8.386
_cell_length_c 6.238
_cell_angle_alpha 90.00
_cell_angle_beta 90.00
_cell_angle_gamma 90.00
_symmetry_space_group_name_H-M 'I -4 2 d'
_symmetry_Int_Tables_number 122
_symmetry_space_group_name_Hall 'I -4 2bw'
loop_
_atom_site_label
_atom_site_type_symbol
_atom_site_fract_x
_atom_site_fract_y
_atom_site_fract_z
_atom_site_occupancy
Ca1 Ca 0.000 0.000 0.000 1
Ga1 Ga 0.225 0.250 0.625 1
Bi1 Bi 0.000 0.000 0.500 1

***

# Te2AsP, relaxed, DFT GGA-PBE
# Energy relative to the elements, uncorrected, eV per atom: 0.4648
# Excess energy over the best structure of this formula in the dataset, eV per atom: 0.329
data_Te2AsP
_chemical_formula_sum 'Te4 As2 P2'
_cell_length_a 3.873
_cell_length_b 8.232
_cell_length_c 7.761
_cell_angle_alpha 90.00
_cell_angle_beta 90.00
_cell_angle_gamma 90.00
_symmetry_space_group_name_H-M 'C m m m'
_symmetry_Int_Tables_number 65
_symmetry_space_group_name_Hall '-C 2 2'
loop_
_atom_site_label
_atom_site_type_symbol
_atom_site_fract_x
_atom_site_fract_y
_atom_site_fract_z
_atom_site_occupancy
Te1 Te 0.000 0.000 0.241 1
As1 As 0.000 0.500 0.500 1
P1 P 0.000 0.500 0.000 1

***

# AlZnPb2, relaxed, DFT GGA-PBE
# Energy of formation, eV/atom: 0.22
data_AlZnPb2
_chemical_formula_sum 'Al1 Zn1 Pb2'
_cell_length_a 5.011
_cell_length_b 5.011
_cell_length_c 3.938
_cell_angle_alpha 90.00
_cell_angle_beta 90.00
_cell_angle_gamma 90.00
_symmetry_space_group_name_H-M 'P 4/m m m'
_symmetry_Int_Tables_number 123
_symmetry_space_group_name_Hall '-P 4 2'
loop_
_atom_site_label
_atom_site_type_symbol
_atom_site_fract_x
_atom_site_fract_y
_atom_site_fract_z
_atom_site_occupancy
Al1 Al 0.000 0.000 0.000 1
Zn1 Zn 0.500 0.500 0.000 1
Pb1 Pb 0.000 0.500 0.500 1

***

# SiHgSb2, relaxed, DFT GGA-PBE
# Energy relative to the elements, uncorrected, eV per atom: 0.3203
data_SiHgSb2
_chemical_formula_sum 'Si2 Hg2 Sb4'
_cell_length_a 11.515
_cell_length_b 3.693
_cell_length_c 5.476
_cell_angle_alpha 90.00
_cell_angle_beta 114.88
_cell_angle_gamma 90.00
_symmetry_space_group_name_H-M 'C 1 m 1'
_symmetry_Int_Tables_number 8
_symmetry_space_group_name_Hall 'C -2y'
loop_
_atom_site_label
_atom_site_type_symbol
_atom_site_fract_x
_atom_site_fract_y
_atom_site_fract_z
_atom_site_occupancy
Si1 Si 0.000 0.000 0.000 1
Hg1 Hg 0.322 0.000 0.632 1
Sb1 Sb 0.047 0.500 0.411 1
Sb2 Sb 0.194 0.500 0.067 1

***

# Ca3MgCu2, relaxed, DFT GGA-PBE
# Energy of formation, eV/atom: -0.05
# Excess energy over the best structure of this formula in the dataset, eV per atom: 0.042
data_Ca3MgCu2
_chemical_formula_sum 'Ca12 Mg4 Cu8'
_cell_length_a 10.037
_cell_length_b 10.057
_cell_length_c 6.088
_cell_angle_alpha 90.00
_cell_angle_beta 90.00
_cell_angle_gamma 90.00
_symmetry_space_group_name_H-M 'C m c m'
_symmetry_Int_Tables_number 63
_symmetry_space_group_name_Hall '-C 2c 2'
loop_
_atom_site_label
_atom_site_type_symbol
_atom_site_fract_x
_atom_site_fract_y
_atom_site_fract_z
_atom_site_occupancy
Ca1 Ca 0.000 0.084 0.250 1
Ca2 Ca 0.173 0.250 0.750 1
Mg1 Mg 0.000 0.431 0.250 1
Cu1 Cu 0.237 0.500 0.000 1

***

# Ac6Pd2RhBr3, relaxed, DFT GGA-PBE
# Energy relative to the elements, uncorrected, eV per atom: -1.1158
data_Ac6Pd2RhBr3
_chemical_formula_sum 'Ac12 Pd4 Rh2 Br6'
_cell_length_a 20.907
_cell_length_b 4.416
_cell_length_c 9.732
_cell_angle_alpha 90.00
_cell_angle_beta 110.78
_cell_angle_gamma 90.00
_symmetry_space_group_name_H-M 'C 1 2/m 1'
_symmetry_Int_Tables_number 12
_symmetry_space_group_name_Hall '-C 2y'
loop_
_atom_site_label
_atom_site_type_symbol
_atom_site_fract_x
_atom_site_fract_y
_atom_site_fract_z
_atom_site_occupancy
Ac1 Ac 0.010 0.000 0.214 1
Ac2 Ac 0.151 0.500 0.108 1
Ac3 Ac 0.177 0.500 0.554 1
Pd1 Pd 0.167 0.000 0.333 1
Rh1 Rh 0.000 0.500 0.000 1
Br1 Br 0.000 0.500 0.500 1
Br2 Br 0.167 0.000 0.830 1

***

# TbNdYAl, relaxed, DFT GGA-PBE
# Energy of formation, eV/atom: -0.20
# Excess energy over the best structure of this formula in the dataset, eV per atom: 0.000
data_TbNdYAl
_chemical_formula_sum 'Tb1 Nd1 Y1 Al1'
_cell_length_a 3.549
_cell_length_b 3.549
_cell_length_c 9.137
_cell_angle_alpha 90.00
_cell_angle_beta 90.00
_cell_angle_gamma 90.00
_symmetry_space_group_name_H-M 'P 4 m m'
_symmetry_Int_Tables_number 99
_symmetry_space_group_name_Hall 'P 4 -2'
loop_
_atom_site_label
_atom_site_type_symbol
_atom_site_fract_x
_atom_site_fract_y
_atom_site_fract_z
_atom_site_occupancy
Tb1 Tb 0.000 0.000 0.000 1
Nd1 Nd 0.500 0.500 0.710 1
Y1 Y 0.000 0.000 0.418 1
Al1 Al 0.500 0.500 0.210 1

***

# Tm2HgAu, relaxed, DFT GGA-PBE
# Energy of formation, eV/atom: -0.69
# Excess energy over the best structure of this formula in the dataset, eV per atom: 0.000
data_Tm2HgAu
_chemical_formula_sum 'Tm2 Hg1 Au1'
_cell_length_a 3.630
_cell_length_b 3.630
_cell_length_c 7.158
_cell_angle_alpha 90.00
_cell_angle_beta 90.00
_cell_angle_gamma 90.00
_symmetry_space_group_name_H-M 'P 4/m m m'
_symmetry_Int_Tables_number 123
_symmetry_space_group_name_Hall '-P 4 2'
loop_
_atom_site_label
_atom_site_type_symbol
_atom_site_fract_x
_atom_site_fract_y
_atom_site_fract_z
_atom_site_occupancy
Tm1 Tm 0.000 0.000 0.239 1
Hg1 Hg 0.500 0.500 0.500 1
Au1 Au 0.500 0.500 0.000 1

***

# Hf4CdPt, relaxed, DFT GGA-PBE
# Energy of formation, eV/atom: -0.43
data_Hf4CdPt
_chemical_formula_sum 'Hf4 Cd1 Pt1'
_cell_length_a 3.286
_cell_length_b 3.286
_cell_length_c 11.543
_cell_angle_alpha 90.00
_cell_angle_beta 90.00
_cell_angle_gamma 90.00
_symmetry_space_group_name_H-M 'P 4/m m m'
_symmetry_Int_Tables_number 123
_symmetry_space_group_name_Hall '-P 4 2'
loop_
_atom_site_label
_atom_site_type_symbol
_atom_site_fract_x
_atom_site_fract_y
_atom_site_fract_z
_atom_site_occupancy
Hf1 Hf 0.000 0.000 0.148 1
Hf2 Hf 0.500 0.500 0.321 1
Cd1 Cd 0.000 0.000 0.500 1
Pt1 Pt 0.500 0.500 0.000 1

***

# CeNdCCl, relaxed, DFT GGA-PBE
# Energy relative to the elements, uncorrected, eV per atom: -0.9861
data_CeNdCCl
_chemical_formula_sum 'Ce3 Nd3 C3 Cl3'
_cell_length_a 3.7105
_cell_length_b 3.7105
_cell_length_c 21.7716
_cell_angle_alpha 90.00
_cell_angle_beta 90.00
_cell_angle_gamma 120.00
_symmetry_space_group_name_H-M 'R 3 m'
_symmetry_Int_Tables_number 160
_symmetry_space_group_name_Hall 'R 3 -2"'
loop_
_atom_site_label
_atom_site_type_symbol
_atom_site_fract_x
_atom_site_fract_y
_atom_site_fract_z
_atom_site_occupancy
Ce1 Ce 0.0000 0.0000 0.0000 1
Nd1 Nd 0.0000 0.0000 0.2062 1
C1 C 0.0000 0.0000 0.6083 1
Cl1 Cl 0.0000 0.0000 0.4379 1

***

# Zn2CuRuI, relaxed, DFT GGA-PBE
# Energy relative to the elements, uncorrected, eV per atom: 0.7415
data_Zn2CuRuI
_chemical_formula_sum 'Zn2 Cu1 Ru1 I1'
_cell_length_a 4.530
_cell_length_b 4.530
_cell_length_c 4.792
_cell_angle_alpha 90.00
_cell_angle_beta 90.00
_cell_angle_gamma 90.00
_symmetry_space_group_name_H-M 'P 4/m m m'
_symmetry_Int_Tables_number 123
_symmetry_space_group_name_Hall '-P 4 2'
loop_
_atom_site_label
_atom_site_type_symbol
_atom_site_fract_x
_atom_site_fract_y
_atom_site_fract_z
_atom_site_occupancy
Zn1 Zn 0.000 0.500 0.000 1
Cu1 Cu 0.000 0.000 0.000 1
Ru1 Ru 0.000 0.000 0.500 1
I1 I 0.500 0.500 0.500 1

***

# In2GeAu6, relaxed, DFT GGA-PBE
# Energy of formation, eV/atom: -0.03
# Excess energy over the best structure of this formula in the dataset, eV per atom: 0.024
data_In2GeAu6
_chemical_formula_sum 'In4 Ge2 Au12'
_cell_length_a 11.418
_cell_length_b 6.531
_cell_length_c 4.942
_cell_angle_alpha 90.00
_cell_angle_beta 90.26
_cell_angle_gamma 90.00
_symmetry_space_group_name_H-M 'C 1 2/m 1'
_symmetry_Int_Tables_number 12
_symmetry_space_group_name_Hall '-C 2y'
loop_
_atom_site_label
_atom_site_type_symbol
_atom_site_fract_x
_atom_site_fract_y
_atom_site_fract_z
_atom_site_occupancy
In1 In 0.166 0.000 0.186 1
Ge1 Ge 0.000 0.500 0.000 1
Au1 Au 0.094 0.221 0.691 1
Au2 Au 0.187 0.500 0.305 1

***

# ReHRh3, relaxed, DFT GGA-PBE
# Excess energy over the best structure of this formula in the dataset, eV per atom: 1.665
data_ReHRh3
_chemical_formula_sum 'Re1 H1 Rh3'
_cell_length_a 4.706
_cell_length_b 4.706
_cell_length_c 4.706
_cell_angle_alpha 90.00
_cell_angle_beta 90.00
_cell_angle_gamma 90.00
_symmetry_space_group_name_H-M 'P m -3 m'
_symmetry_Int_Tables_number 221
_symmetry_space_group_name_Hall '-P 4 2 3'
loop_
_atom_site_label
_atom_site_type_symbol
_atom_site_fract_x
_atom_site_fract_y
_atom_site_fract_z
_atom_site_occupancy
Re1 Re 0.000 0.000 0.000 1
H1 H 0.500 0.500 0.500 1
Rh1 Rh 0.000 0.000 0.500 1

***

# AlCu2W, relaxed, DFT GGA-PBE
# Energy of formation, eV/atom: 0.29
data_AlCu2W
_chemical_formula_sum 'Al2 Cu4 W2'
_cell_length_a 3.797
_cell_length_b 3.797
_cell_length_c 7.664
_cell_angle_alpha 90.00
_cell_angle_beta 90.00
_cell_angle_gamma 90.00
_symmetry_space_group_name_H-M 'I -4 m 2'
_symmetry_Int_Tables_number 119
_symmetry_space_group_name_Hall 'I -4 -2'
loop_
_atom_site_label
_atom_site_type_symbol
_atom_site_fract_x
_atom_site_fract_y
_atom_site_fract_z
_atom_site_occupancy
Al1 Al 0.000 0.000 0.000 1
Cu1 Cu 0.000 0.000 0.500 1
Cu2 Cu 0.000 0.500 0.750 1
W1 W 0.000 0.500 0.250 1

***

# PrTeCl, relaxed, DFT GGA-PBE
# Energy relative to the elements, uncorrected, eV per atom: -1.7308
# Excess energy over the best structure of this formula in the dataset, eV per atom: 0.107
data_PrTeCl
_chemical_formula_sum 'Pr4 Te4 Cl4'
_cell_length_a 7.295
_cell_length_b 7.273
_cell_length_c 7.665
_cell_angle_alpha 90.00
_cell_angle_beta 102.96
_cell_angle_gamma 90.00
_symmetry_space_group_name_H-M 'C 1 c 1'
_symmetry_Int_Tables_number 9
_symmetry_space_group_name_Hall 'C -2yc'
loop_
_atom_site_label
_atom_site_type_symbol
_atom_site_fract_x
_atom_site_fract_y
_atom_site_fract_z
_atom_site_occupancy
Pr1 Pr 0.000 0.195 0.000 1
Te1 Te 0.196 0.445 0.714 1
Cl1 Cl 0.221 0.046 0.336 1

***

Computed electronic total energy, in the same sequence as the records: -3.1974, -3.6208, -2.8850, -3.1721, -2.6798, -5.0663, -5.0991, -3.8182, -8.2228, -6.4292, -2.7525, -3.3378, -5.8284, -5.9333, -4.9867 eV per atom.